Entry 1:
# ZrRe2Pb (PBE-GGA, optimized geometry)
# Magnetic moment, μB per atom: 0.000
# Energy of formation, kJ per mole of atoms: 80.0
# D(E_F), states/eV/f.u.: 2.0
data_ZrRe2Pb
_symmetry_space_group_name_H-M 'I -4 2 d'
_symmetry_Int_Tables_number 122
_symmetry_space_group_name_Hall 'I -4 2bw'
_cell_length_a 4.1064
_cell_length_b 4.1064
_cell_length_c 20.2959
_cell_angle_alpha 90.00
_cell_angle_beta 90.00
_cell_angle_gamma 90.00
loop_
_atom_site_label
_atom_site_type_symbol
_atom_site_fract_x
_atom_site_fract_y
_atom_site_fract_z
Zr1 Zr 0.0000 0.0000 0.0000
Re1 Re 0.1688 0.2500 0.1250
Pb1 Pb 0.0000 0.0000 0.5000

Entry 2:
# ZrRe2Pb (PBE-GGA, optimized geometry)
# Magnetic moment, μB per atom: 0.251
# Energy of formation, kJ per mole of atoms: 62.0
# D(E_F), states/eV/f.u.: 6.1
data_ZrRe2Pb
_symmetry_space_group_name_H-M 'F -4 3 m'
_symmetry_Int_Tables_number 216
_symmetry_space_group_name_Hall 'F -4 2 3'
_cell_length_a 6.6696
_cell_length_b 6.6696
_cell_length_c 6.6696
_cell_angle_alpha 90.00
_cell_angle_beta 90.00
_cell_angle_gamma 90.00
loop_
_atom_site_label
_atom_site_type_symbol
_atom_site_fract_x
_atom_site_fract_y
_atom_site_fract_z
Zr1 Zr 0.0000 0.0000 0.0000
Re1 Re 0.0000 0.0000 0.5000
Re2 Re 0.2500 0.2500 0.2500
Pb1 Pb 0.2500 0.2500 0.7500

Entry 3:
# Zr2RePb (PBE-GGA, optimized geometry)
# Magnetic moment, μB per atom: 0.000
# Energy of formation, kJ per mole of atoms: 4.7
# D(E_F), states/eV/f.u.: 3.8
data_Zr2RePb
_symmetry_space_group_name_H-M 'I m m m'
_symmetry_Int_Tables_number 71
_symmetry_space_group_name_Hall '-I 2 2'
_cell_length_a 4.0067
_cell_length_b 4.8699
_cell_length_c 8.5489
_cell_angle_alpha 90.00
_cell_angle_beta 90.00
_cell_angle_gamma 90.00
loop_
_atom_site_label
_atom_site_type_symbol
_atom_site_fract_x
_atom_site_fract_y
_atom_site_fract_z
Zr1 Zr 0.0000 0.0000 0.2223
Re1 Re 0.0000 0.5000 0.5000
Pb1 Pb 0.0000 0.5000 0.0000

Entry 4:
# Zr2RePb (PBE-GGA, optimized geometry)
# Magnetic moment, μB per atom: 0.000
# Energy of formation, kJ per mole of atoms: 16.2
# D(E_F), states/eV/f.u.: 2.7
data_Zr2RePb
_symmetry_space_group_name_H-M 'P 4 m m'
_symmetry_Int_Tables_number 99
_symmetry_space_group_name_Hall 'P 4 -2'
_cell_length_a 3.4919
_cell_length_b 3.4919
_cell_length_c 6.8735
_cell_angle_alpha 90.00
_cell_angle_beta 90.00
_cell_angle_gamma 90.00
loop_
_atom_site_label
_atom_site_type_symbol
_atom_site_fract_x
_atom_site_fract_y
_atom_site_fract_z
Zr1 Zr 0.0000 0.0000 0.0000
Zr2 Zr 0.5000 0.5000 0.2673
Re1 Re 0.5000 0.5000 0.7931
Pb1 Pb 0.0000 0.0000 0.5501

Entry 5:
# ZrRe2Pb (PBE-GGA, optimized geometry)
# Magnetic moment, μB per atom: 0.000
# Energy of formation, kJ per mole of atoms: 17.2
# D(E_F), states/eV/f.u.: 2.2
data_ZrRe2Pb
_symmetry_space_group_name_H-M 'P 4 m m'
_symmetry_Int_Tables_number 99
_symmetry_space_group_name_Hall 'P 4 -2'
_cell_length_a 3.0877
_cell_length_b 3.0877
_cell_length_c 8.2040
_cell_angle_alpha 90.00
_cell_angle_beta 90.00
_cell_angle_gamma 90.00
loop_
_atom_site_label
_atom_site_type_symbol
_atom_site_fract_x
_atom_site_fract_y
_atom_site_fract_z
Zr1 Zr 0.0000 0.0000 0.0000
Re1 Re 0.0000 0.0000 0.5815
Re2 Re 0.5000 0.5000 0.7608
Pb1 Pb 0.5000 0.5000 0.3150

Entry 6:
# ZrRePb2 (PBE-GGA, optimized geometry)
# Energy above the most stable polymorph in this dataset, eV per atom: 0.453
# Magnetic moment, μB per atom: 0.273
# Energy of formation, kJ per mole of atoms: 63.1
# D(E_F), states/eV/f.u.: 3.5
data_ZrRePb2
_symmetry_space_group_name_H-M 'C 1 2/m 1'
_symmetry_Int_Tables_number 12
_symmetry_space_group_name_Hall '-C 2y'
_cell_length_a 6.1641
_cell_length_b 9.6494
_cell_length_c 3.2166
_cell_angle_alpha 90.00
_cell_angle_beta 111.93
_cell_angle_gamma 90.00
loop_
_atom_site_label
_atom_site_type_symbol
_atom_site_fract_x
_atom_site_fract_y
_atom_site_fract_z
Zr1 Zr 0.0000 0.0000 0.0000
Re1 Re 0.0000 0.5000 0.0000
Pb1 Pb 0.2500 0.2500 0.5000

Entry 7:
# ZrRe4Pb (PBE-GGA, optimized geometry)
# Magnetic moment, μB per atom: 0.000
# Energy of formation, kJ per mole of atoms: 24.5
# D(E_F), states/eV/f.u.: 6.9
data_ZrRe4Pb
_symmetry_space_group_name_H-M 'F -4 3 m'
_symmetry_Int_Tables_number 216
_symmetry_space_group_name_Hall 'F -4 2 3'
_cell_length_a 7.5439
_cell_length_b 7.5439
_cell_length_c 7.5439
_cell_angle_alpha 90.00
_cell_angle_beta 90.00
_cell_angle_gamma 90.00
loop_
_atom_site_label
_atom_site_type_symbol
_atom_site_fract_x
_atom_site_fract_y
_atom_site_fract_z
Zr1 Zr 0.0000 0.0000 0.0000
Re1 Re 0.1246 0.1246 0.3754
Pb1 Pb 0.2500 0.2500 0.7500

Entry 8:
# ZrRePb (PBE-GGA, optimized geometry)
# Energy above the most stable polymorph in this dataset, eV per atom: 0.242
# Magnetic moment, μB per atom: 0.000
# Energy of formation, kJ per mole of atoms: 50.7
# D(E_F), states/eV/f.u.: 2.9
data_ZrRePb
_symmetry_space_group_name_H-M 'F -4 3 m'
_symmetry_Int_Tables_number 216
_symmetry_space_group_name_Hall 'F -4 2 3'
_cell_length_a 6.5608
_cell_length_b 6.5608
_cell_length_c 6.5608
_cell_angle_alpha 90.00
_cell_angle_beta 90.00
_cell_angle_gamma 90.00
loop_
_atom_site_label
_atom_site_type_symbol
_atom_site_fract_x
_atom_site_fract_y
_atom_site_fract_z
Zr1 Zr 0.0000 0.0000 0.0000
Re1 Re 0.2500 0.2500 0.2500
Pb1 Pb 0.0000 0.0000 0.5000

Entry 9:
# RhPb (PBE-GGA, optimized geometry)
# Magnetic moment, μB per atom: 0.305
# Energy of formation, kJ per mole of atoms: 30.9
# D(E_F), states/eV/f.u.: 2.2
data_RhPb
_symmetry_space_group_name_H-M 'P -3 m 1'
_symmetry_Int_Tables_number 164
_symmetry_space_group_name_Hall '-P 3 2"'
_cell_length_a 3.2158
_cell_length_b 3.2158
_cell_length_c 9.9317
_cell_angle_alpha 90.00
_cell_angle_beta 90.00
_cell_angle_gamma 120.00
loop_
_atom_site_label
_atom_site_type_symbol
_atom_site_fract_x
_atom_site_fract_y
_atom_site_fract_z
Rh1 Rh 0.3333 0.6667 0.0986
Pb1 Pb 0.3333 0.6667 0.6816

Entry 10:
# Rh5Pb4 (PBE-GGA, optimized geometry)
# Energy above the most stable polymorph in this dataset, eV per atom: 0.071
# Magnetic moment, μB per atom: 0.000
# Energy of formation, kJ per mole of atoms: 14.1
# D(E_F), states/eV/f.u.: 6.2
data_Rh5Pb4
_symmetry_space_group_name_H-M 'P 63/m c m'
_symmetry_Int_Tables_number 193
_symmetry_space_group_name_Hall '-P 6c 2'
_cell_length_a 8.0623
_cell_length_b 8.0623
_cell_length_c 6.0322
_cell_angle_alpha 90.00
_cell_angle_beta 90.00
_cell_angle_gamma 120.00
loop_
_atom_site_label
_atom_site_type_symbol
_atom_site_fract_x
_atom_site_fract_y
_atom_site_fract_z
Rh1 Rh 0.0000 0.2863 0.2500
Rh2 Rh 0.3333 0.6667 0.0000
Pb1 Pb 0.0000 0.0000 0.0000
Pb2 Pb 0.0000 0.3826 0.7500

Entry 11:
# Rh2Pb (PBE-GGA, optimized geometry)
# Magnetic moment, μB per atom: 0.000
# Energy of formation, kJ per mole of atoms: 36.2
# D(E_F), states/eV/f.u.: 3.2
data_Rh2Pb
_symmetry_space_group_name_H-M 'I 41/a m d'
_symmetry_Int_Tables_number 141
_cell_length_a 3.3857
_cell_length_b 3.3857
_cell_length_c 19.6519
_cell_angle_alpha 90.00
_cell_angle_beta 90.00
_cell_angle_gamma 90.00
loop_
_symmetry_equiv_pos_as_xyz
'x,y,z'
'-x,-y,-z'
'-y+1/4,x+3/4,z+1/4'
'y+1/4,-x+3/4,-z+1/4'
'-x+1/2,-y,z+1/2'
'x+1/2,y,-z+1/2'
'y+1/4,-x+1/4,z+3/4'
'-y+1/4,x+1/4,-z+3/4'
'x,-y,-z'
'-x,y,z'
'-y+1/4,-x+1/4,-z+3/4'
'y+1/4,x+1/4,z+3/4'
'-x+1/2,y,-z+1/2'
'x+1/2,-y,z+1/2'
'y+1/4,x+3/4,-z+1/4'
'-y+1/4,-x+3/4,z+1/4'
'x+1/2,y+1/2,z+1/2'
'-x+1/2,-y+1/2,-z+1/2'
'-y+3/4,x+1/4,z+3/4'
'y+3/4,-x+1/4,-z+3/4'
'-x,-y+1/2,z'
'x,y+1/2,-z'
'y+3/4,-x+3/4,z+1/4'
'-y+3/4,x+3/4,-z+1/4'
'x+1/2,-y+1/2,-z+1/2'
'-x+1/2,y+1/2,z+1/2'
'-y+3/4,-x+3/4,-z+1/4'
'y+3/4,x+3/4,z+1/4'
'-x,y+1/2,-z'
'x,-y+1/2,z'
'y+3/4,x+1/4,-z+3/4'
'-y+3/4,-x+1/4,z+3/4'
loop_
_atom_site_label
_atom_site_type_symbol
_atom_site_fract_x
_atom_site_fract_y
_atom_site_fract_z
Rh1 Rh 0.0000 0.2500 0.3014
Pb1 Pb 0.0000 0.2500 0.8750

Entry 12:
# Rh4Pb (PBE-GGA, optimized geometry)
# Energy above the most stable polymorph in this dataset, eV per atom: 0.000
# Magnetic moment, μB per atom: 0.000
# Energy of formation, kJ per mole of atoms: 5.4
# D(E_F), states/eV/f.u.: 6.0
data_Rh4Pb
_symmetry_space_group_name_H-M 'I 4/m'
_symmetry_Int_Tables_number 87
_symmetry_space_group_name_Hall '-I 4'
_cell_length_a 6.2961
_cell_length_b 6.2961
_cell_length_c 3.9936
_cell_angle_alpha 90.00
_cell_angle_beta 90.00
_cell_angle_gamma 90.00
loop_
_atom_site_label
_atom_site_type_symbol
_atom_site_fract_x
_atom_site_fract_y
_atom_site_fract_z
Rh1 Rh 0.0987 0.6896 0.0000
Pb1 Pb 0.0000 0.0000 0.5000

Entry 13:
# Rh2Pb (PBE-GGA, optimized geometry)
# Magnetic moment, μB per atom: 0.000
# Energy of formation, kJ per mole of atoms: 17.2
# D(E_F), states/eV/f.u.: 4.3
data_Rh2Pb
_symmetry_space_group_name_H-M 'C m c m'
_symmetry_Int_Tables_number 63
_symmetry_space_group_name_Hall '-C 2c 2'
_cell_length_a 3.1385
_cell_length_b 18.3910
_cell_length_c 4.2228
_cell_angle_alpha 90.00
_cell_angle_beta 90.00
_cell_angle_gamma 90.00
loop_
_atom_site_label
_atom_site_type_symbol
_atom_site_fract_x
_atom_site_fract_y
_atom_site_fract_z
Rh1 Rh 0.0000 0.0432 0.2500
Rh2 Rh 0.0000 0.4240 0.2500
Pb1 Pb 0.0000 0.3232 0.7500

Entry 14:
# RhPb (PBE-GGA, optimized geometry)
# Magnetic moment, μB per atom: 0.000
# Energy of formation, kJ per mole of atoms: -8.3
# D(E_F), states/eV/f.u.: 1.3
data_RhPb
_symmetry_space_group_name_H-M 'P 6/m m m'
_symmetry_Int_Tables_number 191
_symmetry_space_group_name_Hall '-P 6 2'
_cell_length_a 5.7550
_cell_length_b 5.7550
_cell_length_c 4.5100
_cell_angle_alpha 90.00
_cell_angle_beta 90.00
_cell_angle_gamma 120.00
loop_
_atom_site_label
_atom_site_type_symbol
_atom_site_fract_x
_atom_site_fract_y
_atom_site_fract_z
Rh1 Rh 0.0000 0.5000 0.0000
Pb1 Pb 0.0000 0.0000 0.0000
Pb2 Pb 0.3333 0.6667 0.5000

Entry 15:
# Rh5Pb (PBE-GGA, optimized geometry)
# Magnetic moment, μB per atom: 0.000
# Energy of formation, kJ per mole of atoms: 6.5
# D(E_F), states/eV/f.u.: 9.1
data_Rh5Pb
_symmetry_space_group_name_H-M 'C m m m'
_symmetry_Int_Tables_number 65
_symmetry_space_group_name_Hall '-C 2 2'
_cell_length_a 3.9509
_cell_length_b 11.9294
_cell_length_c 3.9649
_cell_angle_alpha 90.00
_cell_angle_beta 90.00
_cell_angle_gamma 90.00
loop_
_atom_site_label
_atom_site_type_symbol
_atom_site_fract_x
_atom_site_fract_y
_atom_site_fract_z
Rh1 Rh 0.0000 0.0000 0.0000
Rh2 Rh 0.0000 0.1720 0.5000
Rh3 Rh 0.0000 0.3254 0.0000
Pb1 Pb 0.0000 0.5000 0.5000

Entry 16:
# RhPb (PBE-GGA, optimized geometry)
# Magnetic moment, μB per atom: 0.174
# Energy of formation, kJ per mole of atoms: 13.3
# D(E_F), states/eV/f.u.: 3.0
data_RhPb
_symmetry_space_group_name_H-M 'P 4/n m m'
_symmetry_Int_Tables_number 129
_cell_length_a 3.2899
_cell_length_b 3.2899
_cell_length_c 7.9284
_cell_angle_alpha 90.00
_cell_angle_beta 90.00
_cell_angle_gamma 90.00
loop_
_symmetry_equiv_pos_as_xyz
'x,y,z'
'-x,-y,-z'
'-y+1/2,x,z'
'y+1/2,-x,-z'
'-x+1/2,-y+1/2,z'
'x+1/2,y+1/2,-z'
'y,-x+1/2,z'
'-y,x+1/2,-z'
'x+1/2,-y,-z'
'-x+1/2,y,z'
'-y,-x,-z'
'y,x,z'
'-x,y+1/2,-z'
'x,-y+1/2,z'
'y+1/2,x+1/2,-z'
'-y+1/2,-x+1/2,z'
loop_
_atom_site_label
_atom_site_type_symbol
_atom_site_fract_x
_atom_site_fract_y
_atom_site_fract_z
Rh1 Rh 0.2500 0.2500 0.0943
Pb1 Pb 0.2500 0.2500 0.6909

Entry 17:
# Rh3Pb (PBE-GGA, optimized geometry)
# Magnetic moment, μB per atom: 0.048
# Energy of formation, kJ per mole of atoms: 5.6
# D(E_F), states/eV/f.u.: 5.7
data_Rh3Pb
_symmetry_space_group_name_H-M 'I 4/m m m'
_symmetry_Int_Tables_number 139
_symmetry_space_group_name_Hall '-I 4 2'
_cell_length_a 4.0908
_cell_length_b 4.0908
_cell_length_c 7.7686
_cell_angle_alpha 90.00
_cell_angle_beta 90.00
_cell_angle_gamma 90.00
loop_
_atom_site_label
_atom_site_type_symbol
_atom_site_fract_x
_atom_site_fract_y
_atom_site_fract_z
Rh1 Rh 0.0000 0.0000 0.0000
Rh2 Rh 0.0000 0.5000 0.2500
Pb1 Pb 0.0000 0.0000 0.5000

Entry 18:
# RhPb (PBE-GGA, optimized geometry)
# Magnetic moment, μB per atom: 0.000
# Energy of formation, kJ per mole of atoms: 16.3
# D(E_F), states/eV/f.u.: 1.3
data_RhPb
_symmetry_space_group_name_H-M 'P 42/m n m'
_symmetry_Int_Tables_number 136
_symmetry_space_group_name_Hall '-P 4n 2n'
_cell_length_a 5.5098
_cell_length_b 5.5098
_cell_length_c 5.5146
_cell_angle_alpha 90.00
_cell_angle_beta 90.00
_cell_angle_gamma 90.00
loop_
_atom_site_label
_atom_site_type_symbol
_atom_site_fract_x
_atom_site_fract_y
_atom_site_fract_z
Rh1 Rh 0.2088 0.2088 0.0000
Pb1 Pb 0.2150 0.2150 0.5000

Entry 19:
# RhPb (PBE-GGA, optimized geometry)
# Magnetic moment, μB per atom: 0.000
# Energy of formation, kJ per mole of atoms: 46.5
# D(E_F), states/eV/f.u.: 1.1
data_RhPb
_symmetry_space_group_name_H-M 'F -4 3 m'
_symmetry_Int_Tables_number 216
_symmetry_space_group_name_Hall 'F -4 2 3'
_cell_length_a 6.1049
_cell_length_b 6.1049
_cell_length_c 6.1049
_cell_angle_alpha 90.00
_cell_angle_beta 90.00
_cell_angle_gamma 90.00
loop_
_atom_site_label
_atom_site_type_symbol
_atom_site_fract_x
_atom_site_fract_y
_atom_site_fract_z
Rh1 Rh 0.0000 0.0000 0.0000
Pb1 Pb 0.2500 0.2500 0.7500

Entry 20:
# Rh3Pb (PBE-GGA, optimized geometry)
# Magnetic moment, μB per atom: 0.132
# Energy of formation, kJ per mole of atoms: 37.8
# D(E_F), states/eV/f.u.: 5.9
data_Rh3Pb
_symmetry_space_group_name_H-M 'R -3 m'
_symmetry_Int_Tables_number 166
_symmetry_space_group_name_Hall '-R 3 2"'
_cell_length_a 2.9912
_cell_length_b 2.9912
_cell_length_c 26.3873
_cell_angle_alpha 90.00
_cell_angle_beta 90.00
_cell_angle_gamma 120.00
loop_
_atom_site_label
_atom_site_type_symbol
_atom_site_fract_x
_atom_site_fract_y
_atom_site_fract_z
Rh1 Rh 0.0000 0.0000 0.0000
Rh2 Rh 0.0000 0.0000 0.2551
Pb1 Pb 0.0000 0.0000 0.5000